BaSr2In2Sn2 (PBE, optimized geometry); DFT total energy = -3.062 eV/atom; SG = R-3m (166)
1.0
-1.524 3.749 -3.567
0.089 -1.105 -5.280
-9.845 -2.419 -2.417
Sn In Sr Ba
2 2 2 1
Direct
0.256 0.256 0.232 Sn
0.744 0.744 0.768 Sn
0.419 0.419 0.743 In
0.581 0.581 0.257 In
0.867 0.867 0.398 Sr
0.133 0.133 0.602 Sr
0.000 0.000 0.000 Ba